(1)
This record from the Alexandria database describes a relaxed KAlPb2 crystal. The functional is PBE.

a = 6.1885 Å, b = 3.3057 Å, c = 6.4950 Å
α = 90.00°, β = 115.50°, γ = 90.00°
Last column: nearest neighbours and their distance in Å.
Space group P2/m (No. 10)
Symmetry-distinct sites (fractional):
K 0.0000 0.0000 0.0000 (multiplicity 1)  2 K 3.31, 6 Pb 3.39-3.51, 4 Al 3.64
Al 0.0000 0.5000 0.5000 (multiplicity 1)  2 Al 3.31, 6 Pb 3.39-3.51, 4 K 3.64
Pb 0.5000 0.0000 0.5000 (multiplicity 1)  6 Pb 3.31-3.64, 2 K 3.39, 4 Al 3.51
Pb 0.5000 0.5000 0.0000 (multiplicity 1)  6 Pb 3.31-3.64, 2 Al 3.39, 4 K 3.51

Output
For the calculated total energy, the calculation gives -2.8800 eV per atom. Its crystal system is monoclinic. The calculation puts the density at 6.65 g/cm3.



(2)
This record from the Alexandria database describes a relaxed KAl2Pb2 crystal. The functional is PBE.

a = 9.0578 Å, b = 9.0578 Å, c = 3.4933 Å
α = 90.00°, β = 90.00°, γ = 90.00°
Last column: nearest neighbours and their distance in Å.
Space group P4/mbm (No. 127)
Symmetry-distinct sites (fractional):
K 0.0000 0.0000 0.0000 (multiplicity 2)  4 Pb 3.47, 2 K 3.49
Al 0.1382 0.3618 0.5000 (multiplicity 4)  6 Pb 3.11-3.28
Pb 0.1454 0.6454 0.0000 (multiplicity 4)  6 Al 3.11-3.28, 2 K 3.47

Output
For the calculated total energy, the calculation gives -3.0367 eV per atom. Its crystal system is tetragonal. The calculation puts the density at 5.88 g/cm3.



Number 1: formation enthalpy at 0 K 71 kJ/mol of formula units. Number 2: formation enthalpy at 0 K 79 kJ/mol of formula units.